#one
# Ba2Be2Cu

A relaxed structure of Ba2Be2Cu (PBE, the Alexandria database).

Cell lengths 5.604, 5.604, 5.604 Å; angles 112.87, 112.87, 102.87 degrees
Fractional positions:
Ba  0.250  0.750  0.500
Ba  0.750  0.250  0.500
Be  0.147  0.147  0.000
Be  0.853  0.853  0.000
Cu  0.500  0.500  0.000

Values from the calculation:
- magnetization (μB per formula unit) = 0.0
- symmetry = I4/mmm, No. 139



#two
# Ba2Be2Cu

A relaxed structure of Ba2Be2Cu (PBE, the Alexandria database).

Cell lengths 7.413, 7.413, 4.807 Å; angles 90.00, 90.00, 90.00 degrees
Fractional positions:
Ba  0.197  0.303  0.000
Ba  0.303  0.803  0.000
Ba  0.697  0.197  0.000
Ba  0.803  0.697  0.000
Be  0.101  0.601  0.500
Be  0.399  0.101  0.500
Be  0.601  0.899  0.500
Be  0.899  0.399  0.500
Cu  0.000  0.000  0.500
Cu  0.500  0.500  0.500

Values from the calculation:
- magnetization (μB per formula unit) = 0.0
- symmetry = P4/mbm, No. 127



The most stable of them is #one.



#one
# BaBeCu

A relaxed structure of BaBeCu (PBE, the Alexandria database).

Cell lengths 4.878, 4.878, 4.878 Å; angles 60.00, 60.00, 60.00 degrees
Fractional positions:
Ba  0.000  0.000  0.000
Be  0.250  0.250  0.250
Cu  0.500  0.500  0.500

Values from the calculation:
- magnetization (μB per formula unit) = 0.0
- symmetry = F-43m, No. 216



#two
# BaBeCu

A relaxed structure of BaBeCu (PBE, the Alexandria database).

Cell lengths 4.080, 4.080, 4.996 Å; angles 90.00, 90.00, 120.00 degrees
Fractional positions:
Ba  0.000  0.000  0.000
Be  0.667  0.333  0.500
Cu  0.333  0.667  0.500

Values from the calculation:
- magnetization (μB per formula unit) = 0.0
- symmetry = P-6m2, No. 187



#three
# BaBeCu

A relaxed structure of BaBeCu (PBE, the Alexandria database).

Cell lengths 4.911, 4.911, 4.911 Å; angles 60.00, 60.00, 60.00 degrees
Fractional positions:
Ba  0.000  0.000  0.000
Be  0.500  0.500  0.500
Cu  0.750  0.750  0.750

Values from the calculation:
- magnetization (μB per formula unit) = 0.0
- symmetry = F-43m, No. 216



#four
# BaBeCu

A relaxed structure of BaBeCu (PBE, the Alexandria database).

Cell lengths 4.195, 4.195, 9.080 Å; angles 90.00, 90.00, 90.00 degrees
Fractional positions:
Ba  0.250  0.250  0.214
Ba  0.750  0.750  0.786
Be  0.250  0.750  0.500
Be  0.750  0.250  0.500
Cu  0.250  0.250  0.589
Cu  0.750  0.750  0.411

Values from the calculation:
- magnetization (μB per formula unit) = 0.2
- symmetry = P4/nmm, No. 129



The most stable of them is #four.